# 1
The following is a PBE calculation of a relaxed Nd6TlIr crystal, from Alexandria via LeMat-Bulk.

Calculated values
Energy of formation, eV/atom: -0.130
Crystal system: monoclinic

Cell and atoms, written as CIF:
```
data_Nd6TlIr
_chemical_formula_sum 'Nd12 Tl2 Ir2'
_cell_length_a 8.115
_cell_length_b 10.532
_cell_length_c 6.707
_cell_angle_alpha 90.00
_cell_angle_beta 105.25
_cell_angle_gamma 90.00
_space_group_name_H-M_alt 'C 1 2/m 1'
_space_group_IT_number 12
_space_group_name_Hall '-C 2y'
loop_
_atom_site_label
_atom_site_type_symbol
_atom_site_fract_x
_atom_site_fract_y
_atom_site_fract_z
Nd1 Nd 0.123 0.189 0.288
Nd2 Nd 0.218 0.500 0.154
Tl1 Tl 0.000 0.500 0.500
Ir1 Ir 0.000 0.000 0.000
```



# 2
The following is a PBE calculation of a relaxed KSbP2O crystal, from Alexandria via LeMat-Bulk.

Calculated values
Energy relative to the lowest polymorph listed for this composition, kJ per mole of atoms: 64.9
ΔE_f (raw), meV per atom: 815
Crystal system: tetragonal

Cell and atoms, written as CIF:
```
data_KSbP2O
_chemical_formula_sum 'K1 Sb1 P2 O1'
_cell_length_a 4.974
_cell_length_b 4.974
_cell_length_c 7.929
_cell_angle_alpha 90.00
_cell_angle_beta 90.00
_cell_angle_gamma 90.00
_space_group_name_H-M_alt 'P 4/m m m'
_space_group_IT_number 123
_space_group_name_Hall '-P 4 2'
loop_
_atom_site_label
_atom_site_type_symbol
_atom_site_fract_x
_atom_site_fract_y
_atom_site_fract_z
K1 K 0.000 0.000 0.000
Sb1 Sb 0.000 0.000 0.500
P1 P 0.000 0.500 0.500
O1 O 0.500 0.500 0.000
```



# 3
The following is a PBE calculation of a relaxed CaCd3F crystal, from Alexandria via LeMat-Bulk.

Calculated values
Energy relative to the lowest polymorph listed for this composition, kJ per mole of atoms: 62.7
ΔE_f (raw), meV per atom: 86
Crystal system: cubic

Cell and atoms, written as CIF:
```
data_CaCd3F
_chemical_formula_sum 'Ca1 Cd3 F1'
_cell_length_a 6.218
_cell_length_b 6.218
_cell_length_c 6.218
_cell_angle_alpha 90.00
_cell_angle_beta 90.00
_cell_angle_gamma 90.00
_space_group_name_H-M_alt 'P m -3 m'
_space_group_IT_number 221
_space_group_name_Hall '-P 4 2 3'
loop_
_atom_site_label
_atom_site_type_symbol
_atom_site_fract_x
_atom_site_fract_y
_atom_site_fract_z
Ca1 Ca 0.000 0.000 0.000
Cd1 Cd 0.000 0.000 0.500
F1 F 0.500 0.500 0.500
```



Number 1: electronic total energy -5.110 eV/atom, spin magnetization 0.0 μB/cell. Number 2: electronic total energy -3.384 eV/atom, spin magnetization 1.8 μB/cell. Number 3: electronic total energy -1.238 eV/atom, spin magnetization 0.0 μB/cell.